Entry 1:
32
Lattice="3.312 1.912 9.401 -3.312 1.912 9.401 0.000 -3.825 9.401" Properties=species:S:1:pos:R:3 comment="LaSi3H12 (GGA-PBE, relaxed)" total_magnetization_mub_per_cell=0.0 e_tot_ha_per_atom=-0.1390 pbc="T T T"
La 0.000 0.000 0.000
La 0.000 0.000 14.101
Si -0.788 -2.241 11.924
Si -1.765 -0.110 16.624
Si -1.547 1.803 11.924
Si 0.978 -1.474 16.624
Si 2.335 0.438 11.924
Si 0.788 1.584 16.624
H -1.100 -0.758 7.042
H -2.207 1.183 7.486
H 0.080 -2.503 7.486
H -0.252 -1.794 10.496
H -1.885 -0.797 15.196
H -1.105 -0.730 12.186
H -0.319 -2.452 13.388
H -1.428 1.115 10.496
H -1.964 1.502 13.388
H -0.107 1.331 7.042
H 1.206 -0.573 7.042
H -1.349 -0.410 18.088
H -1.206 -0.573 21.143
H -0.080 1.322 12.186
H 1.185 -0.592 12.186
H 1.633 -1.234 15.196
H 1.680 0.679 10.496
H 2.128 1.320 7.486
H 1.030 -0.963 18.088
H 0.252 2.031 15.196
H 0.319 1.373 18.088
H 1.100 -0.758 21.143
H 0.107 1.331 21.143
H 2.283 0.950 13.388

Entry 2:
12
Lattice="8.721 0.000 0.000 0.000 4.162 0.000 -2.296 0.000 8.683" Properties=species:S:1:pos:R:3 comment="BaLiBiS3 (GGA-PBE, relaxed)" total_magnetization_mub_per_cell=0.0 e_tot_ha_per_atom=-0.1672 pbc="T T T"
Ba 1.136 1.041 2.103
Ba 5.289 3.122 6.580
Li -0.597 1.041 5.142
Li 7.022 3.122 3.542
Bi 0.945 3.122 7.276
Bi 5.480 1.041 1.407
S -1.010 1.041 7.540
S 0.533 3.122 4.503
S 3.498 3.122 1.467
S 2.927 1.041 7.216
S 5.892 1.041 4.180
S 7.435 3.122 1.144

Entry 3:
5
Lattice="4.779 0.000 0.000 0.000 4.779 0.000 0.000 0.000 4.922" Properties=species:S:1:pos:R:3 comment="CuAsAuS2 (GGA-PBE, relaxed)" total_magnetization_mub_per_cell=0.0 e_tot_ha_per_atom=-0.1202 pbc="T T T"
Cu 0.000 0.000 0.000
As 2.390 2.390 2.461
Au 2.390 2.390 0.000
S 0.000 2.390 2.461
S 2.390 0.000 2.461

Entry 4:
6
Lattice="1.776 -5.678 0.000 1.776 5.678 0.000 0.000 0.000 6.153" Properties=species:S:1:pos:R:3 comment="ThTcGe (GGA-PBE, relaxed)" total_magnetization_mub_per_cell=0.0 relative_energy_mev_per_atom=0 e_form_ev_per_atom=-0.585 pbc="T T T"
Th 1.776 3.726 4.615
Th 1.776 -3.726 1.538
Tc 1.776 0.000 0.000
Tc 1.776 0.000 3.077
Ge 1.776 4.472 1.538
Ge 1.776 -4.472 4.615

Entry 5:
6
Lattice="5.925 0.000 0.000 -2.963 5.131 0.000 0.000 0.000 10.453" Properties=species:S:1:pos:R:3 comment="RbTiGa (GGA-PBE, relaxed)" total_magnetization_mub_per_cell=5.3 relative_energy_mev_per_atom=1208 e_form_ev_per_atom=1.212 pbc="T T T"
Rb 0.000 3.421 2.613
Rb 2.963 1.710 7.840
Ti 0.000 0.000 0.000
Ti 0.000 0.000 5.227
Ga 0.000 0.000 2.613
Ga 0.000 0.000 7.840

Entry 6:
10
Lattice="6.977 0.000 0.000 0.000 6.977 0.000 0.000 0.000 3.782" Properties=species:S:1:pos:R:3 comment="Y2ReS2 (GGA-PBE, relaxed)" total_magnetization_mub_per_cell=0.0 relative_energy_mev_per_atom=0 pbc="T T T"
Y 1.127 2.362 0.000
Y 2.362 5.851 0.000
Y 4.615 1.127 0.000
Y 5.851 4.615 0.000
Re 0.000 0.000 1.891
Re 3.489 3.489 1.891
S 1.060 4.549 1.891
S 2.428 1.060 1.891
S 4.549 5.917 1.891
S 5.917 2.428 1.891

Entry 7:
5
Lattice="4.534 0.000 0.000 0.000 4.534 0.000 0.000 0.000 4.534" Properties=species:S:1:pos:R:3 comment="TiPd3Cl (GGA-PBE, relaxed)" total_magnetization_mub_per_cell=0.0 relative_energy_mev_per_atom=29 pbc="T T T"
Ti 0.000 0.000 0.000
Pd 0.000 2.267 2.267
Pd 2.267 0.000 2.267
Pd 2.267 2.267 0.000
Cl 2.267 2.267 2.267